1.
Compound: CsHfAg2
Source: the Alexandria database
Functional: PBE
Structure: optimized geometry

Computed properties:
Space-group type ... I-42d (122)
E above lowest polymorph ... 0.0 meV/atom
Calculated formation energy ... 0.84 eV per atom

Cell and atoms, written as POSCAR:
```
CsHfAg2
1.0
-4.163 4.163 3.816
4.163 -4.163 3.816
4.163 4.163 -3.816
Cs Hf Ag
2 2 4
direct
0.000 0.000 0.000
0.750 0.250 0.500
0.250 0.750 0.500
0.500 0.500 0.000
0.193 0.625 0.068
0.375 0.443 0.568
0.557 0.125 0.932
0.875 0.807 0.432
```



2.
Compound: CsHf3Ag
Source: the Alexandria database
Functional: PBE
Structure: optimized geometry

Computed properties:
Space-group type ... Pm-3m (221)
E above lowest polymorph ... 0.0 meV/atom
Calculated formation energy ... 1.31 eV per atom

Cell and atoms, written as POSCAR:
```
CsHf3Ag
1.0
5.310 0.000 0.000
0.000 5.310 0.000
0.000 0.000 5.310
Cs Hf Ag
1 3 1
direct
0.000 0.000 0.000
0.000 0.500 0.500
0.500 0.000 0.500
0.500 0.500 0.000
0.500 0.500 0.500
```



3.
Compound: Cs2HfAg
Source: the Alexandria database
Functional: PBE
Structure: optimized geometry

Computed properties:
Space-group type ... Fm-3m (225)
Calculated formation energy ... 1.25 eV per atom

Cell and atoms, written as POSCAR:
```
Cs2HfAg
1.0
0.000 4.501 4.501
4.501 0.000 4.501
4.501 4.501 0.000
Cs Hf Ag
2 1 1
direct
0.250 0.250 0.250
0.750 0.750 0.750
0.000 0.000 0.000
0.500 0.500 0.500
```



4.
Compound: Cs3HfAg
Source: the Alexandria database
Functional: PBE
Structure: optimized geometry

Computed properties:
Space-group type ... Pm-3m (221)
Calculated formation energy ... 1.14 eV per atom

Cell and atoms, written as POSCAR:
```
Cs3HfAg
1.0
7.129 0.000 0.000
0.000 7.129 0.000
0.000 0.000 7.129
Cs Hf Ag
3 1 1
direct
0.000 0.000 0.500
0.000 0.500 0.000
0.500 0.000 0.000
0.000 0.000 0.000
0.500 0.500 0.500
```



5.
Compound: CsHfAg2
Source: the Alexandria database
Functional: PBE
Structure: optimized geometry

Computed properties:
Space-group type ... Fm-3m (225)
E above lowest polymorph ... 82.3 meV/atom
Calculated formation energy ... 0.93 eV per atom

Cell and atoms, written as POSCAR:
```
CsHfAg2
1.0
0.000 3.798 3.798
3.798 0.000 3.798
3.798 3.798 0.000
Cs Hf Ag
1 1 2
direct
0.000 0.000 0.000
0.500 0.500 0.500
0.250 0.250 0.250
0.750 0.750 0.750
```



6.
Compound: CsHfAg
Source: the Alexandria database
Functional: PBE
Structure: optimized geometry

Computed properties:
Space-group type ... C2/m (12)
E above lowest polymorph ... 0.0 meV/atom
Calculated formation energy ... 0.38 eV per atom

Cell and atoms, written as POSCAR:
```
CsHfAg
1.0
5.474 -1.746 0.000
5.474 1.746 0.000
-2.702 0.000 11.834
Cs Hf Ag
2 2 2
direct
0.169 0.169 0.180
0.831 0.831 0.820
0.139 0.139 0.504
0.861 0.861 0.496
0.473 0.473 0.347
0.527 0.527 0.653
```



7.
Compound: CsHfAg
Source: the Alexandria database
Functional: PBE
Structure: optimized geometry

Computed properties:
Space-group type ... I4mm (107)
E above lowest polymorph ... 282.1 meV/atom
Calculated formation energy ... 0.67 eV per atom

Cell and atoms, written as POSCAR:
```
CsHfAg
1.0
-1.818 1.818 7.598
1.818 -1.818 7.598
1.818 1.818 -7.598
Cs Hf Ag
1 1 1
direct
0.000 0.000 0.000
0.731 0.731 0.000
0.306 0.306 0.000
```



8.
Compound: CsHf3Ag
Source: the Alexandria database
Functional: PBE
Structure: optimized geometry

Computed properties:
Space-group type ... Pm-3m (221)
E above lowest polymorph ... 1048.1 meV/atom
Calculated formation energy ... 2.36 eV per atom

Cell and atoms, written as POSCAR:
```
CsHf3Ag
1.0
5.237 0.000 0.000
0.000 5.237 0.000
0.000 0.000 5.237
Cs Hf Ag
1 3 1
direct
0.000 0.000 0.000
0.000 0.000 0.500
0.000 0.500 0.000
0.500 0.000 0.000
0.500 0.500 0.500
```



9.
Compound: CsHfAg
Source: the Alexandria database
Functional: PBE
Structure: optimized geometry

Computed properties:
Space-group type ... P1 (1)
E above lowest polymorph ... 22.1 meV/atom
Calculated formation energy ... 0.41 eV per atom

Cell and atoms, written as POSCAR:
```
CsHfAg
1.0
3.445 0.000 0.000
0.000 4.582 0.000
-1.096 -0.039 14.021
Cs Hf Ag
2 2 2
direct
0.000 0.000 0.000
0.296 0.495 0.347
0.364 0.998 0.576
0.918 0.999 0.747
0.436 0.500 0.802
0.873 0.498 0.603
```



10.
Compound: CsHfAg
Source: the Alexandria database
Functional: PBE
Structure: optimized geometry

Computed properties:
Space-group type ... Cm (8)
E above lowest polymorph ... 134.0 meV/atom
Calculated formation energy ... 0.52 eV per atom

Cell and atoms, written as POSCAR:
```
CsHfAg
1.0
4.136 -2.385 0.000
4.136 2.385 0.000
-0.049 0.000 12.901
Cs Hf Ag
2 2 2
direct
0.000 0.000 0.000
0.662 0.662 0.368
0.331 0.331 0.588
0.998 0.998 0.698
0.332 0.332 0.802
0.665 0.665 0.712
```



11.
Compound: CsHfAg
Source: the Alexandria database
Functional: PBE
Structure: optimized geometry

Computed properties:
Space-group type ... P-1 (2)
E above lowest polymorph ... 157.2 meV/atom
Calculated formation energy ... 0.54 eV per atom

Cell and atoms, written as POSCAR:
```
CsHfAg
1.0
3.545 0.000 0.000
-1.772 5.092 0.000
-0.104 -1.815 13.174
Cs Hf Ag
2 2 2
direct
0.149 0.316 0.179
0.851 0.684 0.821
0.073 0.140 0.596
0.927 0.860 0.404
0.345 0.686 0.563
0.655 0.314 0.437
```



12.
Compound: Cs2HfAgI6
Source: the Alexandria database
Functional: PBE
Structure: optimized geometry

Computed properties:
Space-group type ... I4/mmm (139)
Raw formation energy ... -0.93 eV/atom

Cell and atoms, written as POSCAR:
```
Cs2HfAgI6
1.0
-4.234 4.234 6.000
4.234 -4.234 6.000
4.234 4.234 -6.000
Cs Hf Ag I
2 1 1 6
direct
0.250 0.750 0.500
0.750 0.250 0.500
0.000 0.000 0.000
0.500 0.500 0.000
0.242 0.242 0.000
0.242 0.242 0.485
0.242 0.758 0.000
0.758 0.242 0.000
0.758 0.758 0.000
0.758 0.758 0.515
```